1.
ZrAgHgTe3 | GGA-PBE | optimized geometry

Results
- E: -0.145 hartree per atom
- Formation energy without anion corrections: -425 meV/atom

abc: 9.5445 3.9875 10.5695
angles: 90.00 112.88 90.00
Last column: nearest neighbours and their distance in Å.
Space group P2_1/m (No. 11)
One atom of each set of equivalent atoms:
Zr  0.1874  0.2500  0.1625 [2 per cell]  6 Te 2.90-2.98
Ag  0.4239  0.7500  0.3925 [2 per cell]  4 Te 2.77-2.89, 2 Ag 2.95
Hg  0.2760  0.7500  0.7493 [2 per cell]  7 Te 3.46-3.62
Te  0.0464  0.2500  0.8566 [2 per cell]  3 Zr 2.94-2.98
Te  0.2506  0.2500  0.4566 [2 per cell]  3 Ag 2.84-2.89, 1 Zr 2.93
Te  0.3849  0.7500  0.1183 [2 per cell]  1 Ag 2.77, 2 Zr 2.90

---

2.
Th6AgHg | GGA-PBE | optimized geometry

Results
- DFT formation energy: -0.28 eV per formula unit
- E: -0.220 hartree per atom

abc: 5.1648 5.1648 18.0718
angles: 90.00 90.00 90.00
Last column: nearest neighbours and their distance in Å.
Space group I4/mmm (No. 139)
One atom of each set of equivalent atoms:
Th  0.0000  0.0000  0.2494 [4 per cell]  12 Th 3.54-3.65
Th  0.0000  0.5000  0.1152 [8 per cell]  2 Hg 3.32, 2 Ag 3.32, 8 Th 3.54-3.65
Ag  0.0000  0.0000  0.0000 [2 per cell]  8 Th 3.32, 4 Hg 3.65
Hg  0.0000  0.0000  0.5000 [2 per cell]  8 Th 3.32, 4 Ag 3.65

---

3.
Th2AgHg3 | GGA-PBE | optimized geometry

Results
- DFT formation energy: -1.50 eV per formula unit
- E: -0.123 hartree per atom

abc: 6.7668 10.0620 17.4862
angles: 90.00 90.00 90.00
Last column: nearest neighbours and their distance in Å.
Space group Fmmm (No. 69)
One atom of each set of equivalent atoms:
Th  0.2490  0.0000  0.0000 [8 per cell]  10 Hg 3.34-3.41, 2 Th 3.37-3.40, 2 Ag 3.37
Th  0.2500  0.2500  0.2500 [8 per cell]  8 Hg 3.35, 4 Ag 3.36, 2 Th 3.38
Ag  0.0000  0.0000  0.1669 [8 per cell]  3 Hg 2.86-2.87
Hg  0.0000  0.0000  0.3309 [8 per cell]  1 Ag 2.87, 2 Hg 2.95
Hg  0.0000  0.2461  0.0846 [16 per cell]  1 Ag 2.86, 2 Hg 2.95-2.96

---

4.
Th5AgHg4 | GGA-PBE | optimized geometry

Results
- DFT formation energy: -1.86 eV per formula unit
- E: -0.158 hartree per atom

abc: 3.4513 3.4513 22.7079
angles: 90.00 90.00 90.00
Last column: nearest neighbours and their distance in Å.
Space group P4/mmm (No. 123)
One atom of each set of equivalent atoms:
Th  0.0000  0.0000  0.0000 [1 per cell]  8 Hg 3.35, 4 Th 3.45
Th  0.0000  0.0000  0.2024 [2 per cell]  8 Hg 3.34-3.35, 4 Th 3.45
Th  0.0000  0.0000  0.4048 [2 per cell]  4 Ag 3.26, 4 Hg 3.36, 4 Th 3.45
Ag  0.5000  0.5000  0.5000 [1 per cell]  8 Th 3.26, 4 Ag 3.45
Hg  0.5000  0.5000  0.1011 [2 per cell]  8 Th 3.35, 4 Hg 3.45
Hg  0.5000  0.5000  0.3028 [2 per cell]  8 Th 3.34-3.36, 4 Hg 3.45

---

5.
Th3Ag4Hg2 | GGA-PBE | optimized geometry

Results
- DFT formation energy: -1.88 eV per formula unit
- E: -0.148 hartree per atom

abc: 10.9062 4.9735 9.2416
angles: 90.00 120.93 90.00
Last column: nearest neighbours and their distance in Å.
Space group C2/m (No. 12)
One atom of each set of equivalent atoms:
Th  0.0000  0.0000  0.0000 [2 per cell]  8 Ag 3.28-3.35, 4 Hg 3.33, 2 Th 3.35
Th  0.1653  0.5000  0.6695 [4 per cell]  8 Ag 3.28-3.37, 4 Hg 3.31-3.35, 2 Th 3.35
Ag  0.0553  0.0000  0.3913 [4 per cell]  1 Ag 2.83, 2 Hg 2.89
Ag  0.2258  0.5000  0.0556 [4 per cell]  2 Ag 2.84, 1 Hg 2.89
Hg  0.1138  0.5000  0.2795 [4 per cell]  3 Ag 2.89

---

6.
Th2AgHg | GGA-PBE | optimized geometry

Results
- DFT formation energy: -0.50 eV per formula unit
- E: -0.170 hartree per atom

abc: 4.8570 4.8570 4.5041
angles: 90.00 90.00 90.00
Last column: nearest neighbours and their distance in Å.
Space group P4/mmm (No. 123)
One atom of each set of equivalent atoms:
Th  0.0000  0.5000  0.0000 [2 per cell]  4 Hg 3.31, 4 Ag 3.31, 4 Th 3.43
Ag  0.0000  0.0000  0.5000 [1 per cell]  8 Th 3.31, 4 Hg 3.43
Hg  0.5000  0.5000  0.5000 [1 per cell]  8 Th 3.31, 4 Ag 3.43